1.
# Sm5ErCd6, optimized geometry, DFT PBE-GGA
data_Sm5ErCd6
_chemical_formula_sum 'Sm10 Er2 Cd12'
_cell_length_a 5.3484
_cell_length_b 16.0681
_cell_length_c 7.6526
_cell_angle_alpha 90.00
_cell_angle_beta 90.00
_cell_angle_gamma 90.00
_symmetry_space_group_name_H-M 'C m m m'
_symmetry_Int_Tables_number 65
_symmetry_space_group_name_Hall '-C 2 2'
loop_
_atom_site_label
_atom_site_type_symbol
_atom_site_fract_x
_atom_site_fract_y
_atom_site_fract_z
Sm1 Sm 0.0000 0.0000 0.0000
Sm2 Sm 0.0000 0.3315 0.0000
Sm3 Sm 0.0000 0.3341 0.5000
Er1 Er 0.0000 0.0000 0.5000
Cd1 Cd 0.0000 0.1640 0.2541
Cd2 Cd 0.0000 0.5000 0.2547
# Electronic total energy   -3.1185 eV per atom


2.
# Sm8Er6Cd, optimized geometry, DFT PBE-GGA
data_Sm8Er6Cd
_chemical_formula_sum 'Sm8 Er6 Cd1'
_cell_length_a 9.4048
_cell_length_b 9.4048
_cell_length_c 6.3323
_cell_angle_alpha 90.00
_cell_angle_beta 90.00
_cell_angle_gamma 120.00
_symmetry_space_group_name_H-M 'P -3'
_symmetry_Int_Tables_number 147
_symmetry_space_group_name_Hall '-P 3'
loop_
_atom_site_label
_atom_site_type_symbol
_atom_site_fract_x
_atom_site_fract_y
_atom_site_fract_z
Sm1 Sm 0.0423 0.2702 0.1869
Sm2 Sm 0.3333 0.6667 0.1831
Er1 Er 0.0966 0.4547 0.6800
Cd1 Cd 0.0000 0.0000 0.5000
# Electronic total energy   -4.2990 eV per atom


3.
# Sm5Er12Cd2, optimized geometry, DFT PBE-GGA
data_Sm5Er12Cd2
_chemical_formula_sum 'Sm10 Er24 Cd4'
_cell_length_a 15.4349
_cell_length_b 9.2275
_cell_length_c 8.2476
_cell_angle_alpha 90.00
_cell_angle_beta 91.74
_cell_angle_gamma 90.00
_symmetry_space_group_name_H-M 'C 1 2/m 1'
_symmetry_Int_Tables_number 12
_symmetry_space_group_name_Hall '-C 2y'
loop_
_atom_site_label
_atom_site_type_symbol
_atom_site_fract_x
_atom_site_fract_y
_atom_site_fract_z
Sm1 Sm 0.0000 0.0000 0.0000
Sm2 Sm 0.2010 0.5000 0.5125
Sm3 Sm 0.2350 0.0000 0.0771
Er1 Er 0.0544 0.5000 0.8240
Er2 Er 0.0793 0.0000 0.3818
Er3 Er 0.1265 0.3074 0.1705
Er4 Er 0.1462 0.1825 0.7387
Cd1 Cd 0.0000 0.3240 0.5000
# Electronic total energy   -4.1758 eV per atom


4.
# SmEr7Cd4, optimized geometry, DFT PBE-GGA
data_SmEr7Cd4
_chemical_formula_sum 'Sm2 Er14 Cd8'
_cell_length_a 14.6071
_cell_length_b 5.6703
_cell_length_c 9.6619
_cell_angle_alpha 90.00
_cell_angle_beta 121.92
_cell_angle_gamma 90.00
_symmetry_space_group_name_H-M 'C 1 2/m 1'
_symmetry_Int_Tables_number 12
_symmetry_space_group_name_Hall '-C 2y'
loop_
_atom_site_label
_atom_site_type_symbol
_atom_site_fract_x
_atom_site_fract_y
_atom_site_fract_z
Sm1 Sm 0.0000 0.0000 0.0000
Er1 Er 0.0000 0.5000 0.0000
Er2 Er 0.0720 0.0000 0.4146
Er3 Er 0.2063 0.0000 0.8802
Er4 Er 0.2377 0.5000 0.6933
Cd1 Cd 0.0418 0.5000 0.7116
Cd2 Cd 0.1817 0.5000 0.3406
# Electronic total energy   -3.3411 eV per atom


5.
# Sm5Er2Cd4, optimized geometry, DFT PBE-GGA
data_Sm5Er2Cd4
_chemical_formula_sum 'Sm10 Er4 Cd8'
_cell_length_a 24.3686
_cell_length_b 3.3858
_cell_length_c 8.0010
_cell_angle_alpha 90.00
_cell_angle_beta 92.64
_cell_angle_gamma 90.00
_symmetry_space_group_name_H-M 'C 1 2/m 1'
_symmetry_Int_Tables_number 12
_symmetry_space_group_name_Hall '-C 2y'
loop_
_atom_site_label
_atom_site_type_symbol
_atom_site_fract_x
_atom_site_fract_y
_atom_site_fract_z
Sm1 Sm 0.0000 0.0000 0.0000
Sm2 Sm 0.1398 0.5000 0.1256
Sm3 Sm 0.2330 0.5000 0.7918
Er1 Er 0.0913 0.5000 0.7202
Cd1 Cd 0.0365 0.5000 0.3554
Cd2 Cd 0.1647 0.0000 0.4722
# Electronic total energy   -3.2951 eV per atom


6.
# SmEr7Cd2, optimized geometry, DFT PBE-GGA
data_SmEr7Cd2
_chemical_formula_sum 'Sm2 Er14 Cd4'
_cell_length_a 8.9566
_cell_length_b 15.3119
_cell_length_c 5.3165
_cell_angle_alpha 90.00
_cell_angle_beta 90.00
_cell_angle_gamma 90.00
_symmetry_space_group_name_H-M 'C m m m'
_symmetry_Int_Tables_number 65
_symmetry_space_group_name_Hall '-C 2 2'
loop_
_atom_site_label
_atom_site_type_symbol
_atom_site_fract_x
_atom_site_fract_y
_atom_site_fract_z
Sm1 Sm 0.0000 0.0000 0.0000
Er1 Er 0.0000 0.2309 0.0000
Er2 Er 0.0000 0.5000 0.5000
Er3 Er 0.1812 0.1194 0.5000
Cd1 Cd 0.0000 0.3037 0.5000
# Electronic total energy   -3.4273 eV per atom